[1]
Material: Y6BiAs4
Method: DFT, PBE-GGA
State: optimized geometry

Cell and atoms, written as POSCAR:
```
Y6BiAs4
1.0
-0.230 -3.548 -2.185
3.717 -1.404 5.874
-17.652 -4.998 9.977
Y Bi As
12 2 8
Direct
0.500 0.000 0.000 Y
0.500 0.000 0.500 Y
0.038 0.076 0.340 Y
0.962 0.924 0.660 Y
0.962 0.924 0.840 Y
0.038 0.076 0.160 Y
0.772 0.543 0.418 Y
0.228 0.457 0.582 Y
0.228 0.457 0.918 Y
0.772 0.543 0.082 Y
0.337 0.673 0.250 Y
0.663 0.327 0.750 Y
0.663 0.325 0.250 Bi
0.337 0.675 0.750 Bi
0.863 0.727 0.542 As
0.406 0.812 0.124 As
0.137 0.273 0.458 As
0.594 0.188 0.876 As
0.863 0.727 0.958 As
0.137 0.273 0.042 As
0.594 0.188 0.624 As
0.406 0.812 0.376 As
```

DOS(E_F) in states/eV/f.u.: 4.507
Energy in eV/f.u.: -75.76
Size of the total moment in μB/f.u.: 0.2
Formation energy in kJ/mol of formula units: -1398
ρ in g cm⁻³: 5.859



[2]
Material: YBiAs2
Method: DFT, PBE-GGA
State: optimized geometry

Cell and atoms, written as POSCAR:
```
YBiAs2
1.0
-5.011 -1.021 -0.725
-3.588 2.860 2.373
-2.930 3.258 -2.735
Y As Bi
1 2 1
Direct
0.000 0.000 0.000 Y
0.250 0.250 0.250 As
0.750 0.750 0.750 As
0.500 0.500 0.500 Bi
```

DOS(E_F) in states/eV/f.u.: 1.521
Energy in eV/f.u.: -21.11
Size of the total moment in μB/f.u.: 0.0
Formation energy in kJ/mol of formula units: -142
ρ in g cm⁻³: 7.629